Entry 1:
The following is a PBE calculation of crystalline PuNp3As4 at its relaxed geometry, from Alexandria.

The formation energy comes out at -771 meV/atom. The calculation puts the magnetic moment at 16.80 μB/f.u.

The structure belongs to space group Pm-3m (No. 221); the cell edges are 5.827, 5.827 and 5.827 Å and the angles 90.00°, 90.00° and 90.00°. The inequivalent atoms are Pu at (0.000, 0.000, 0.000), Np at (0.000, 0.500, 0.500), As at (0.000, 0.000, 0.500) and As at (0.500, 0.500, 0.500).

---

Entry 2:
The following is a PBE calculation of crystalline PaAlSi2Ni2 at its relaxed geometry, from Alexandria.

The calculation puts the formation energy from raw total energies at -660 meV per atom. The calculation puts the magnetic moment at 0.00 μB/f.u.

The structure belongs to space group P-3m1 (No. 164); the cell edges are 3.9981, 3.9981 and 6.5432 Å and the angles 90.00°, 90.00° and 120.00°. The inequivalent atoms are Pa at (0.0000, 0.0000, 0.0000), Al at (0.0000, 0.0000, 0.5000), Si at (0.3333, 0.6667, 0.7266) and Ni at (0.3333, 0.6667, 0.3357).

---

Entry 3:
The following is a PBE calculation of crystalline Si2TcHg at its relaxed geometry, from Alexandria.

The calculation puts the formation energy from raw total energies at 531 meV per atom. The calculation puts the magnetic moment at 0.00 μB/f.u.

The structure belongs to space group C2/m (No. 12); the cell edges are 5.670, 8.592 and 3.209 Å and the angles 90.00°, 121.23° and 90.00°. The inequivalent atoms are Si at (0.250, 0.250, 0.000), Tc at (0.000, 0.000, 0.000) and Hg at (0.000, 0.500, 0.000).

---

Entry 4:
The following is a PBE calculation of crystalline PmNd2Mn at its relaxed geometry, from Alexandria.

The formation energy comes out at 177 meV/atom. The calculation puts the magnetic moment at 3.72 μB/f.u.

The structure belongs to space group P4/mmm (No. 123); the cell edges are 3.646, 3.646 and 8.976 Å and the angles 90.00°, 90.00° and 90.00°. The inequivalent atoms are Pm at (0.000, 0.000, 0.000), Nd at (0.500, 0.500, 0.295) and Mn at (0.000, 0.000, 0.500).

---

Entry 5:
The following is a PBE calculation of crystalline RbPrPuBr6 at its relaxed geometry, from Alexandria.

The calculation puts the formation energy from raw total energies at -1718 meV per atom. The calculation puts the magnetic moment at 6.00 μB/f.u.

The structure belongs to space group P-31c (No. 163); the cell edges are 7.6446, 7.6446 and 15.2736 Å and the angles 90.00°, 90.00° and 120.00°. The inequivalent atoms are Rb at (0.0000, 0.0000, 0.0000), Pr at (0.3333, 0.6667, 0.2500), Pu at (0.3333, 0.6667, 0.7500) and Br at (0.0034, 0.3698, 0.1382).

---

Entry 6:
The following is a PBE calculation of crystalline Co2SeBr at its relaxed geometry, from Alexandria.

The calculation puts the formation energy from raw total energies at -32 meV per atom. The calculation puts the magnetic moment at 4.17 μB/f.u.

The structure belongs to space group Cm (No. 8); the cell edges are 6.606, 3.814 and 7.164 Å and the angles 90.00°, 90.16° and 90.00°. The inequivalent atoms are Co at (0.000, 0.000, 0.000), Co at (0.166, 0.500, 0.871), Se at (0.333, 0.000, 0.754) and Br at (0.167, 0.500, 0.218).